# NaSmInPb

An optimized crystal structure of NaSmInPb (PBE, the Alexandria database).

a b c (Å): 4.558 4.835 4.963
angles (deg): 90.00 90.00 90.00
Sites, in units of the cell vectors:
Na 0.000 0.000 0.000
Sm 0.000 0.500 0.500
In 0.500 0.500 0.000
Pb 0.500 0.000 0.500

size of the total moment	0.00	Bohr magnetons per cell
N(E_F)	0.590	states/eV per atom
DFT formation energy	-0.3369	eV/atom
SG	No. 47